The following is a GGA-PBE calculation of a geometry-optimized Sr3GaHg3 structure, from Alexandria via LeMat-Bulk.

For the formation energy, the calculation gives -11.01 kcal/mol of atoms. Its crystal system is monoclinic. The value obtained for the volume is 31.47 Å³ per atom. Its total energy is -1.760 eV/atom.

The structure belongs to space group C2/m (No. 12); the cell edges are 11.9910, 4.6579 and 16.6944 Å and the angles 90.00°, 109.11° and 90.00°. The distinct sites, in fractional coordinates, are Sr at (0.0365, 0.0000, 0.3934), Sr at (0.1011, 0.0000, 0.9187), Sr at (0.2491, 0.0000, 0.2375), Ga at (0.2413, 0.5000, 0.3949), Hg at (0.0347, 0.5000, 0.2395), Hg at (0.1167, 0.5000, 0.0790) and Hg at (0.1419, 0.5000, 0.5457).